Computed, not measured: a geometry-optimized KBaNF2 structure at the PBE-GGA level of DFT.

Energy relative to the lowest polymorph listed for this composition = 0.00 kJ/mol of atoms
Formation energy from raw total energies = -1.562 eV per atom

Lattice parameters (Å, degrees): 5.0882 5.0882 5.4251 90.00 90.00 90.00
With the nearest neighbours (Å) after each atom.
Space group P4/mmm (No. 123)
Unique sites:
K 0.0000 0.0000 0.0000  4 N 3.60, 8 F 3.72
Ba 0.5000 0.5000 0.5000  4 F 2.54, 2 N 2.71
N 0.5000 0.5000 0.0000  2 Ba 2.71
F 0.0000 0.5000 0.5000  2 Ba 2.54